VASP calculation (PBE-GGA) on a relaxed AcLaGeF crystal.

Cell lengths 4.5352, 4.5352, 9.9373 Å; angles 90.00, 90.00, 90.00 degrees
Site moments in Bohr magnetons follow the coordinates.
Element x y z (fractional)
1 Ge 0.0000 0.5000 0.2814  0.00
2 La 0.5000 0.5000 0.5000  0.12
3 La 0.0000 0.0000 0.5000  0.12
4 F 0.0000 0.0000 0.0000  0.00
5 Ge 0.5000 0.0000 0.7186  0.00
6 Ac 0.5000 0.0000 0.1465  0.03
7 Ac 0.0000 0.5000 0.8535  0.03
8 F 0.5000 0.5000 0.0000  0.00

Summary:
* size of the total moment: 0.4 μB/f.u.
* E_form (uncorrected): -1.73 eV/atom